Model w:
Entry from the Alexandria database: an optimized crystal structure of LaNb2Se2 (PBE).

```
LaNb2Se2
1.0
3.965 0.000 0.000
0.000 3.965 0.000
0.000 0.000 13.765
La Nb Se
2 4 4
direct
0.000 0.000 0.000
0.500 0.500 0.500
0.000 0.500 0.250
0.000 0.500 0.750
0.500 0.000 0.250
0.500 0.000 0.750
0.000 0.000 0.384
0.000 0.000 0.616
0.500 0.500 0.116
0.500 0.500 0.884
```

Calculated values
total magnetic moment	0.000	μB/atom

=====

Model x:
Entry from the Alexandria database: an optimized crystal structure of LaNb2Se2 (PBE).

```
LaNb2Se2
1.0
8.019 0.000 0.000
0.000 8.019 0.000
0.000 0.000 3.295
La Nb Se
2 4 4
direct
0.000 0.000 0.000
0.500 0.500 0.000
0.117 0.383 0.500
0.383 0.883 0.500
0.617 0.117 0.500
0.883 0.617 0.500
0.153 0.653 0.000
0.347 0.153 0.000
0.653 0.847 0.000
0.847 0.347 0.000
```

Calculated values
total magnetic moment	0.000	μB/atom

=====

Stability, highest: model w

=====

Model w:
Entry from the Alexandria database: an optimized crystal structure of LaNb3Si (PBE).

```
LaNb3Si
1.0
4.894 0.000 0.000
0.000 4.894 0.000
0.000 0.000 4.894
La Nb Si
1 3 1
direct
0.000 0.000 0.000
0.000 0.000 0.500
0.000 0.500 0.000
0.500 0.000 0.000
0.500 0.500 0.500
```

Calculated values
total magnetic moment	0.000	μB/atom

=====

Model x:
Entry from the Alexandria database: an optimized crystal structure of LaNb3Si (PBE).

```
LaNb3Si
1.0
4.862 0.000 0.000
0.000 4.862 0.000
0.000 0.000 4.862
La Nb Si
1 3 1
direct
0.000 0.000 0.000
0.000 0.500 0.500
0.500 0.000 0.500
0.500 0.500 0.000
0.500 0.500 0.500
```

Calculated values
total magnetic moment	0.000	μB/atom

=====

Stability, highest: model x

=====

Model w:
Entry from the Alexandria database: an optimized crystal structure of LaNbSn2 (PBE).

```
LaNbSn2
1.0
4.651 0.000 0.000
0.000 4.651 0.000
0.000 0.000 20.926
La Nb Sn
4 4 8
direct
0.000 0.000 0.000
0.000 0.500 0.250
0.500 0.000 0.750
0.500 0.500 0.500
0.000 0.000 0.500
0.000 0.500 0.750
0.500 0.000 0.250
0.500 0.500 0.000
0.187 0.250 0.625
0.250 0.687 0.875
0.250 0.813 0.375
0.313 0.250 0.125
0.687 0.750 0.125
0.750 0.187 0.375
0.750 0.313 0.875
0.813 0.750 0.625
```

Calculated values
total magnetic moment	0.000	μB/atom

=====

Model x:
Entry from the Alexandria database: an optimized crystal structure of LaNbSn2 (PBE).

```
LaNbSn2
1.0
7.380 0.000 0.000
0.000 7.380 0.000
0.000 0.000 7.380
La Nb Sn
4 4 8
direct
0.000 0.000 0.000
0.000 0.500 0.500
0.500 0.000 0.500
0.500 0.500 0.000
0.000 0.000 0.500
0.000 0.500 0.000
0.500 0.000 0.000
0.500 0.500 0.500
0.250 0.250 0.250
0.250 0.250 0.750
0.250 0.750 0.250
0.250 0.750 0.750
0.750 0.250 0.250
0.750 0.250 0.750
0.750 0.750 0.250
0.750 0.750 0.750
```

Calculated values
total magnetic moment	0.485	μB/atom

=====

Stability, highest: model x

=====

Model w:
Entry from the Alexandria database: an optimized crystal structure of LaNb2Sn2 (PBE).

```
LaNb2Sn2
1.0
8.609 0.000 0.000
0.000 8.609 0.000
0.000 0.000 3.115
La Nb Sn
2 4 4
direct
0.000 0.000 0.000
0.500 0.500 0.000
0.112 0.388 0.000
0.388 0.888 0.000
0.612 0.112 0.000
0.888 0.612 0.000
0.179 0.679 0.500
0.321 0.179 0.500
0.679 0.821 0.500
0.821 0.321 0.500
```

Calculated values
total magnetic moment	0.000	μB/atom

=====

Model x:
Entry from the Alexandria database: an optimized crystal structure of LaNb2Sn2 (PBE).

```
LaNb2Sn2
1.0
4.271 0.000 0.000
0.000 4.271 0.000
0.000 0.000 13.363
La Nb Sn
2 4 4
direct
0.000 0.000 0.000
0.500 0.500 0.500
0.000 0.500 0.250
0.000 0.500 0.750
0.500 0.000 0.250
0.500 0.000 0.750
0.000 0.000 0.392
0.000 0.000 0.608
0.500 0.500 0.108
0.500 0.500 0.892
```

Calculated values
total magnetic moment	0.000	μB/atom

=====

Stability, highest: model x

=====

Model w:
Entry from the Alexandria database: an optimized crystal structure of SrLa2Nb (PBE).

```
SrLa2Nb
1.0
8.861 0.000 0.000
0.000 8.861 0.000
0.000 0.000 7.316
Sr La Nb
4 8 4
direct
0.000 0.000 0.000
0.000 0.500 0.250
0.500 0.000 0.750
0.500 0.500 0.500
0.147 0.250 0.625
0.250 0.647 0.875
0.250 0.853 0.375
0.353 0.250 0.125
0.647 0.750 0.125
0.750 0.147 0.375
0.750 0.353 0.875
0.853 0.750 0.625
0.000 0.000 0.500
0.000 0.500 0.750
0.500 0.000 0.250
0.500 0.500 0.000
```

Calculated values
total magnetic moment	0.000	μB/atom

=====

Model x:
Entry from the Alexandria database: an optimized crystal structure of SrLa2Nb (PBE).

```
SrLa2Nb
1.0
7.976 0.000 0.000
0.000 7.976 0.000
0.000 0.000 7.976
Sr La Nb
4 8 4
direct
0.000 0.000 0.000
0.000 0.500 0.500
0.500 0.000 0.500
0.500 0.500 0.000
0.250 0.250 0.250
0.250 0.250 0.750
0.250 0.750 0.250
0.250 0.750 0.750
0.750 0.250 0.250
0.750 0.250 0.750
0.750 0.750 0.250
0.750 0.750 0.750
0.000 0.000 0.500
0.000 0.500 0.000
0.500 0.000 0.000
0.500 0.500 0.500
```

Calculated values
total magnetic moment	0.355	μB/atom

=====

Stability, highest: model x

=====

Model w:
Entry from the Alexandria database: an optimized crystal structure of LaTaNb2 (PBE).

```
LaTaNb2
1.0
7.793 0.000 0.000
0.000 7.793 0.000
0.000 0.000 5.919
La Ta Nb
4 4 8
direct
0.000 0.000 0.000
0.000 0.500 0.250
0.500 0.000 0.750
0.500 0.500 0.500
0.000 0.000 0.500
0.000 0.500 0.750
0.500 0.000 0.250
0.500 0.500 0.000
0.227 0.250 0.625
0.250 0.727 0.875
0.250 0.773 0.375
0.273 0.250 0.125
0.727 0.750 0.125
0.750 0.227 0.375
0.750 0.273 0.875
0.773 0.750 0.625
```

Calculated values
total magnetic moment	0.000	μB/atom

=====

Model x:
Entry from the Alexandria database: an optimized crystal structure of LaTaNb2 (PBE).

```
LaTaNb2
1.0
6.936 0.000 0.000
0.000 6.936 0.000
0.000 0.000 6.936
La Ta Nb
4 4 8
direct
0.000 0.000 0.000
0.000 0.500 0.500
0.500 0.000 0.500
0.500 0.500 0.000
0.000 0.000 0.500
0.000 0.500 0.000
0.500 0.000 0.000
0.500 0.500 0.500
0.250 0.250 0.250
0.250 0.250 0.750
0.250 0.750 0.250
0.250 0.750 0.750
0.750 0.250 0.250
0.750 0.250 0.750
0.750 0.750 0.250
0.750 0.750 0.750
```

Calculated values
total magnetic moment	0.000	μB/atom

=====

Stability, highest: model x

=====

Model w:
Entry from the Alexandria database: an optimized crystal structure of LaTa3Nb (PBE).

```
LaTa3Nb
1.0
4.872 0.000 0.000
0.000 4.872 0.000
0.000 0.000 4.872
La Ta Nb
1 3 1
direct
0.000 0.000 0.000
0.000 0.000 0.500
0.000 0.500 0.000
0.500 0.000 0.000
0.500 0.500 0.500
```

Calculated values
total magnetic moment	0.000	μB/atom

=====

Model x:
Entry from the Alexandria database: an optimized crystal structure of LaTa3Nb (PBE).

```
LaTa3Nb
1.0
4.996 0.000 0.000
0.000 4.996 0.000
0.000 0.000 4.996
La Ta Nb
1 3 1
direct
0.000 0.000 0.000
0.000 0.500 0.500
0.500 0.000 0.500
0.500 0.500 0.000
0.500 0.500 0.500
```

Calculated values
total magnetic moment	0.000	μB/atom

=====

Stability, highest: model x

=====

Model w:
Entry from the Alexandria database: an optimized crystal structure of LaNb3Tc (PBE).

```
LaNb3Tc
1.0
4.928 0.000 0.000
0.000 4.928 0.000
0.000 0.000 4.928
La Nb Tc
1 3 1
direct
0.000 0.000 0.000
0.000 0.500 0.500
0.500 0.000 0.500
0.500 0.500 0.000
0.500 0.500 0.500
```

Calculated values
total magnetic moment	0.000	μB/atom

=====

Model x:
Entry from the Alexandria database: an optimized crystal structure of LaNb3Tc (PBE).

```
LaNb3Tc
1.0
4.814 0.000 0.000
0.000 4.814 0.000
0.000 0.000 4.814
La Nb Tc
1 3 1
direct
0.000 0.000 0.000
0.000 0.000 0.500
0.000 0.500 0.000
0.500 0.000 0.000
0.500 0.500 0.500
```

Calculated values
total magnetic moment	0.000	μB/atom

=====

Stability, highest: model w

=====

Model w:
Entry from the Alexandria database: an optimized crystal structure of La2NbTc (PBE).

```
La2NbTc
1.0
7.315 0.000 0.000
0.000 7.315 0.000
0.000 0.000 7.315
La Nb Tc
8 4 4
direct
0.250 0.250 0.250
0.250 0.250 0.750
0.250 0.750 0.250
0.250 0.750 0.750
0.750 0.250 0.250
0.750 0.250 0.750
0.750 0.750 0.250
0.750 0.750 0.750
0.000 0.000 0.000
0.000 0.500 0.500
0.500 0.000 0.500
0.500 0.500 0.000
0.000 0.000 0.500
0.000 0.500 0.000
0.500 0.000 0.000
0.500 0.500 0.500
```

Calculated values
total magnetic moment	0.789	μB/atom

=====

Model x:
Entry from the Alexandria database: an optimized crystal structure of La2NbTc (PBE).

```
La2NbTc
1.0
8.409 0.000 0.000
0.000 8.409 0.000
0.000 0.000 5.758
La Nb Tc
8 4 4
direct
0.191 0.250 0.125
0.250 0.691 0.375
0.250 0.809 0.875
0.309 0.250 0.625
0.691 0.750 0.625
0.750 0.191 0.875
0.750 0.309 0.375
0.809 0.750 0.125
0.000 0.000 0.500
0.000 0.500 0.750
0.500 0.000 0.250
0.500 0.500 0.000
0.000 0.000 0.000
0.000 0.500 0.250
0.500 0.000 0.750
0.500 0.500 0.500
```

Calculated values
total magnetic moment	0.000	μB/atom

=====

Stability, highest: model w

=====

Model w:
Entry from the Alexandria database: an optimized crystal structure of LaNbTe3 (PBE).

```
LaNbTe3
1.0
6.054 0.000 0.000
0.000 6.054 0.000
0.000 0.000 6.054
La Nb Te
1 1 3
direct
0.000 0.000 0.000
0.500 0.500 0.500
0.000 0.000 0.500
0.000 0.500 0.000
0.500 0.000 0.000
```

Calculated values
total magnetic moment	0.466	μB/atom

=====

Model x:
Entry from the Alexandria database: an optimized crystal structure of LaNbTe3 (PBE).

```
LaNbTe3
1.0
5.429 0.000 0.000
0.000 5.429 0.000
0.000 0.000 5.429
La Nb Te
1 1 3
direct
0.000 0.000 0.000
0.500 0.500 0.500
0.000 0.500 0.500
0.500 0.000 0.500
0.500 0.500 0.000
```

Calculated values
total magnetic moment	0.000	μB/atom

=====

Stability, highest: model x

=====

Model w:
Entry from the Alexandria database: an optimized crystal structure of La2TiNb (PBE).

```
La2TiNb
1.0
7.503 0.000 0.000
0.000 7.503 0.000
0.000 0.000 7.503
La Ti Nb
8 4 4
direct
0.250 0.250 0.250
0.250 0.250 0.750
0.250 0.750 0.250
0.250 0.750 0.750
0.750 0.250 0.250
0.750 0.250 0.750
0.750 0.750 0.250
0.750 0.750 0.750
0.000 0.000 0.000
0.000 0.500 0.500
0.500 0.000 0.500
0.500 0.500 0.000
0.000 0.000 0.500
0.000 0.500 0.000
0.500 0.000 0.000
0.500 0.500 0.500
```

Calculated values
total magnetic moment	0.040	μB/atom

=====

Model x:
Entry from the Alexandria database: an optimized crystal structure of La2TiNb (PBE).

```
La2TiNb
1.0
8.285 0.000 0.000
0.000 8.285 0.000
0.000 0.000 6.158
La Ti Nb
8 4 4
direct
0.246 0.250 0.125
0.250 0.746 0.375
0.250 0.754 0.875
0.254 0.250 0.625
0.746 0.750 0.625
0.750 0.246 0.875
0.750 0.254 0.375
0.754 0.750 0.125
0.000 0.000 0.500
0.000 0.500 0.750
0.500 0.000 0.250
0.500 0.500 0.000
0.000 0.000 0.000
0.000 0.500 0.250
0.500 0.000 0.750
0.500 0.500 0.500
```

Calculated values
total magnetic moment	0.239	μB/atom

=====

Stability, highest: model w

=====

Model w:
Entry from the Alexandria database: an optimized crystal structure of LaNb3V (PBE).

```
LaNb3V
1.0
4.840 0.000 0.000
0.000 4.840 0.000
0.000 0.000 4.840
La Nb V
1 3 1
direct
0.000 0.000 0.000
0.000 0.500 0.500
0.500 0.000 0.500
0.500 0.500 0.000
0.500 0.500 0.500
```

Calculated values
total magnetic moment	0.000	μB/atom

=====

Model x:
Entry from the Alexandria database: an optimized crystal structure of LaNb3V (PBE).

```
LaNb3V
1.0
4.887 0.000 0.000
0.000 4.887 0.000
0.000 0.000 4.887
La Nb V
1 3 1
direct
0.000 0.000 0.000
0.000 0.000 0.500
0.000 0.500 0.000
0.500 0.000 0.000
0.500 0.500 0.500
```

Calculated values
total magnetic moment	0.699	μB/atom

=====

Stability, highest: model w

=====

Model w:
Entry from the Alexandria database: an optimized crystal structure of LaNb2W2 (PBE).

```
LaNb2W2
1.0
8.116 0.000 0.000
0.000 8.116 0.000
0.000 0.000 3.122
La Nb W
2 4 4
direct
0.000 0.000 0.000
0.500 0.500 0.000
0.142 0.358 0.500
0.358 0.858 0.500
0.642 0.142 0.500
0.858 0.642 0.500
0.141 0.641 0.000
0.359 0.141 0.000
0.641 0.859 0.000
0.859 0.359 0.000
```

Calculated values
total magnetic moment	0.000	μB/atom

=====

Model x:
Entry from the Alexandria database: an optimized crystal structure of LaNb2W2 (PBE).

```
LaNb2W2
1.0
4.414 0.000 0.000
0.000 4.414 0.000
0.000 0.000 11.324
La Nb W
2 4 4
direct
0.000 0.000 0.000
0.500 0.500 0.500
0.000 0.500 0.250
0.000 0.500 0.750
0.500 0.000 0.250
0.500 0.000 0.750
0.000 0.000 0.385
0.000 0.000 0.615
0.500 0.500 0.115
0.500 0.500 0.885
```

Calculated values
total magnetic moment	0.000	μB/atom

=====

Stability, highest: model x